Model w:
{"formula": "FeNi2Mo", "functional": "PBE", "state": "optimized geometry", "dos_at_fermi_per_ev_fu": 4.04, "spacegroup": "C2/m, No. 12", "magmom_total_mub_per_cell": 5.6, "lattice": [[5.1299, 0.0000, 0.0000], [0.0000, 7.4824, 0.0000], [-0.0127, 0.0000, 2.5778]], "species": ["Fe", "Fe", "Ni", "Ni", "Ni", "Ni", "Mo", "Mo"], "fractional_positions": [[0.0000, 0.0000, 0.0000], [0.5000, 0.5000, 0.0000], [0.2500, 0.2500, 0.5000], [0.2500, 0.7500, 0.5000], [0.7500, 0.2500, 0.5000], [0.7500, 0.7500, 0.5000], [0.0000, 0.5000, 0.0000], [0.5000, 0.0000, 0.0000]]}



Model x:
{"formula": "FeNi2Mo", "functional": "PBE", "state": "optimized geometry", "dos_at_fermi_per_ev_fu": 2.78, "spacegroup": "P4/mmm, No. 123", "magmom_total_mub_per_cell": 0.0, "lattice": [[3.5295, 0.0000, 0.0000], [0.0000, 3.5295, 0.0000], [0.0000, 0.0000, 3.7989]], "species": ["Fe", "Ni", "Ni", "Mo"], "fractional_positions": [[0.0000, 0.0000, 0.0000], [0.0000, 0.5000, 0.5000], [0.5000, 0.0000, 0.5000], [0.5000, 0.5000, 0.0000]]}



Model y:
{"formula": "FeNi2Mo", "functional": "PBE", "state": "optimized geometry", "dos_at_fermi_per_ev_fu": 3.75, "spacegroup": "Pmm2, No. 25", "magmom_total_mub_per_cell": 2.8, "lattice": [[2.5790, 0.0000, 0.0000], [0.0000, 4.1873, 0.0000], [0.0000, 0.0000, 4.5506]], "species": ["Fe", "Ni", "Ni", "Mo"], "fractional_positions": [[0.0000, 0.0000, 0.0000], [0.5000, 0.0000, 0.4819], [0.5000, 0.5000, 0.1668], [0.0000, 0.5000, 0.6652]]}



Model z:
{"formula": "FeNi2Mo", "functional": "PBE", "state": "optimized geometry", "dos_at_fermi_per_ev_fu": 4.44, "spacegroup": "C2/m, No. 12", "magmom_total_mub_per_cell": 4.6, "lattice": [[8.6551, 0.0000, 0.0000], [0.0000, 2.6455, 0.0000], [-0.8614, 0.0000, 4.2924]], "species": ["Fe", "Fe", "Ni", "Ni", "Ni", "Ni", "Mo", "Mo"], "fractional_positions": [[0.0000, 0.0000, 0.0000], [0.5000, 0.5000, 0.0000], [0.2455, 0.5000, 0.2435], [0.2545, 0.0000, 0.7565], [0.7455, 0.0000, 0.2435], [0.7545, 0.5000, 0.7565], [0.0000, 0.5000, 0.5000], [0.5000, 0.0000, 0.5000]]}



Of them, model x has the highest stability.



Model w:
{"formula": "FeNi2Mo", "functional": "PBE", "state": "optimized geometry", "dos_at_fermi_per_ev_fu": 5.14, "spacegroup": "I-4m2, No. 119", "magmom_total_mub_per_cell": 2.1, "lattice": [[3.6601, 0.0000, 0.0000], [0.0000, 3.6601, 0.0000], [0.0000, 0.0000, 7.1812]], "species": ["Fe", "Fe", "Ni", "Ni", "Ni", "Ni", "Mo", "Mo"], "fractional_positions": [[0.0000, 0.0000, 0.0000], [0.5000, 0.5000, 0.5000], [0.0000, 0.0000, 0.5000], [0.0000, 0.5000, 0.2500], [0.5000, 0.0000, 0.7500], [0.5000, 0.5000, 0.0000], [0.0000, 0.5000, 0.7500], [0.5000, 0.0000, 0.2500]]}



Model x:
{"formula": "FeNi2Mo", "functional": "PBE", "state": "optimized geometry", "dos_at_fermi_per_ev_fu": 4.18, "spacegroup": "P2_1/m, No. 11", "magmom_total_mub_per_cell": 5.8, "lattice": [[2.5366, 0.0000, 0.0000], [0.0000, 4.1108, 0.0000], [-1.2636, 0.0000, 9.4423]], "species": ["Fe", "Fe", "Ni", "Ni", "Ni", "Ni", "Mo", "Mo"], "fractional_positions": [[0.1610, 0.2500, 0.3212], [0.8390, 0.7500, 0.6788], [0.0328, 0.2500, 0.0660], [0.2258, 0.7500, 0.4535], [0.7742, 0.2500, 0.5465], [0.9672, 0.7500, 0.9340], [0.4092, 0.2500, 0.8167], [0.5908, 0.7500, 0.1833]]}



Of them, model w has the highest stability.



Model w:
{"formula": "FeNi2Mo", "functional": "PBE", "state": "optimized geometry", "dos_at_fermi_per_ev_fu": 4.11, "spacegroup": "Cm, No. 8", "magmom_total_mub_per_cell": 5.0, "lattice": [[8.5277, 0.0000, 0.0000], [0.0000, 2.5796, 0.0000], [-0.7420, 0.0000, 4.4777]], "species": ["Fe", "Fe", "Ni", "Ni", "Ni", "Ni", "Mo", "Mo"], "fractional_positions": [[0.0000, 0.0000, 0.0000], [0.5000, 0.5000, 0.0000], [0.2439, 0.5000, 0.2252], [0.4911, 0.0000, 0.4787], [0.7439, 0.0000, 0.2252], [0.9911, 0.5000, 0.4787], [0.2438, 0.0000, 0.7214], [0.7438, 0.5000, 0.7214]]}



Model x:
{"formula": "FeNi2Mo", "functional": "PBE", "state": "optimized geometry", "dos_at_fermi_per_ev_fu": 3.58, "spacegroup": "Pmmm, No. 47", "magmom_total_mub_per_cell": 2.8, "lattice": [[2.5777, 0.0000, 0.0000], [0.0000, 3.7114, 0.0000], [0.0000, 0.0000, 5.1310]], "species": ["Fe", "Ni", "Ni", "Mo"], "fractional_positions": [[0.0000, 0.0000, 0.0000], [0.5000, 0.5000, 0.2412], [0.5000, 0.5000, 0.7588], [0.0000, 0.0000, 0.5000]]}



Model y:
{"formula": "FeNi2Mo", "functional": "PBE", "state": "optimized geometry", "dos_at_fermi_per_ev_fu": 2.82, "spacegroup": "R3m, No. 160", "magmom_total_mub_per_cell": 9.0, "lattice": [[2.6094, 0.0000, 0.0000], [-1.3047, 2.2598, 0.0000], [0.0000, 0.0000, 25.5090]], "species": ["Fe", "Fe", "Fe", "Ni", "Ni", "Ni", "Ni", "Ni", "Ni", "Mo", "Mo", "Mo"], "fractional_positions": [[0.0000, 0.0000, 0.0000], [0.3333, 0.6667, 0.6667], [0.6667, 0.3333, 0.3333], [0.0000, 0.0000, 0.4906], [0.0000, 0.0000, 0.7441], [0.3333, 0.6667, 0.1573], [0.3333, 0.6667, 0.4108], [0.6667, 0.3333, 0.0774], [0.6667, 0.3333, 0.8240], [0.0000, 0.0000, 0.2422], [0.3333, 0.6667, 0.9089], [0.6667, 0.3333, 0.5756]]}



Model z:
{"formula": "FeNi2Mo", "functional": "PBE", "state": "optimized geometry", "dos_at_fermi_per_ev_fu": 3.06, "spacegroup": "P4mm, No. 99", "magmom_total_mub_per_cell": 3.4, "lattice": [[2.5941, 0.0000, 0.0000], [0.0000, 2.5941, 0.0000], [0.0000, 0.0000, 7.3523]], "species": ["Fe", "Ni", "Ni", "Mo"], "fractional_positions": [[0.0000, 0.0000, 0.0000], [0.0000, 0.0000, 0.5388], [0.5000, 0.5000, 0.7723], [0.5000, 0.5000, 0.2800]]}



Of them, model x has the highest stability.



Model w:
{"formula": "Fe2Ni2Mo", "functional": "PBE", "state": "optimized geometry", "dos_at_fermi_per_ev_fu": 4.89, "spacegroup": "P4/mbm, No. 127", "magmom_total_mub_per_cell": 10.9, "lattice": [[6.9430, 0.0000, 0.0000], [0.0000, 6.9430, 0.0000], [0.0000, 0.0000, 2.5393]], "species": ["Fe", "Fe", "Fe", "Fe", "Ni", "Ni", "Ni", "Ni", "Mo", "Mo"], "fractional_positions": [[0.1208, 0.3792, 0.0000], [0.3792, 0.8792, 0.0000], [0.6208, 0.1208, 0.0000], [0.8792, 0.6208, 0.0000], [0.1751, 0.6751, 0.5000], [0.3249, 0.1751, 0.5000], [0.6751, 0.8249, 0.5000], [0.8249, 0.3249, 0.5000], [0.0000, 0.0000, 0.0000], [0.5000, 0.5000, 0.0000]]}



Model x:
{"formula": "Fe2Ni2Mo", "functional": "PBE", "state": "optimized geometry", "dos_at_fermi_per_ev_fu": 4.98, "spacegroup": "P4/mbm, No. 127", "magmom_total_mub_per_cell": 11.3, "lattice": [[6.9528, 0.0000, 0.0000], [0.0000, 6.9528, 0.0000], [0.0000, 0.0000, 2.5450]], "species": ["Fe", "Fe", "Fe", "Fe", "Ni", "Ni", "Ni", "Ni", "Mo", "Mo"], "fractional_positions": [[0.1723, 0.3277, 0.0000], [0.3277, 0.8277, 0.0000], [0.6723, 0.1723, 0.0000], [0.8277, 0.6723, 0.0000], [0.1237, 0.6237, 0.5000], [0.3763, 0.1237, 0.5000], [0.6237, 0.8763, 0.5000], [0.8763, 0.3763, 0.5000], [0.0000, 0.0000, 0.5000], [0.5000, 0.5000, 0.5000]]}



Of them, model x has the highest stability.



Model w:
{"formula": "FeNi4Mo", "functional": "PBE", "state": "optimized geometry", "dos_at_fermi_per_ev_fu": 6.01, "spacegroup": "Cmcm, No. 63", "magmom_total_mub_per_cell": 3.0, "lattice": [[2.4702, -7.0281, 0.0000], [2.4702, 7.0281, 0.0000], [0.0000, 0.0000, 4.0368]], "species": ["Fe", "Fe", "Ni", "Ni", "Ni", "Ni", "Ni", "Ni", "Ni", "Ni", "Mo", "Mo"], "fractional_positions": [[0.1251, 0.8749, 0.7500], [0.8749, 0.1251, 0.2500], [0.0387, 0.4546, 0.7500], [0.2002, 0.2833, 0.7500], [0.2833, 0.2002, 0.2500], [0.4546, 0.0387, 0.2500], [0.5454, 0.9613, 0.7500], [0.7167, 0.7998, 0.7500], [0.7998, 0.7167, 0.2500], [0.9613, 0.5454, 0.2500], [0.3762, 0.6238, 0.2500], [0.6238, 0.3762, 0.7500]]}



Model x:
{"formula": "FeNi4Mo", "functional": "PBE", "state": "optimized geometry", "dos_at_fermi_per_ev_fu": 5.21, "spacegroup": "F-43m, No. 216", "magmom_total_mub_per_cell": 2.2, "lattice": [[0.0000, 3.2887, 3.2887], [3.2887, 0.0000, 3.2887], [3.2887, 3.2887, 0.0000]], "species": ["Fe", "Ni", "Ni", "Ni", "Ni", "Mo"], "fractional_positions": [[0.0000, 0.0000, 0.0000], [0.1247, 0.6251, 0.6251], [0.6251, 0.1247, 0.6251], [0.6251, 0.6251, 0.1247], [0.6251, 0.6251, 0.6251], [0.2500, 0.2500, 0.2500]]}



Of them, model w has the highest stability.



Model w:
{"formula": "FeNi3Mo", "functional": "PBE", "state": "optimized geometry", "dos_at_fermi_per_ev_fu": 5.82, "spacegroup": "Cmcm, No. 63", "magmom_total_mub_per_cell": 5.7, "lattice": [[2.3091, -6.2873, 0.0000], [2.3091, 6.2873, 0.0000], [0.0000, 0.0000, 4.4370]], "species": ["Fe", "Fe", "Ni", "Ni", "Ni", "Ni", "Ni", "Ni", "Mo", "Mo"], "fractional_positions": [[0.0579, 0.9421, 0.7500], [0.9421, 0.0579, 0.2500], [0.1041, 0.3859, 0.7500], [0.3859, 0.1041, 0.2500], [0.5000, 0.5000, 0.0000], [0.5000, 0.5000, 0.5000], [0.6141, 0.8959, 0.7500], [0.8959, 0.6141, 0.2500], [0.3126, 0.6874, 0.2500], [0.6874, 0.3126, 0.7500]]}



Model x:
{"formula": "FeNi3Mo", "functional": "PBE", "state": "optimized geometry", "dos_at_fermi_per_ev_fu": 16.19, "spacegroup": "Pm-3m, No. 221", "magmom_total_mub_per_cell": 0.0, "lattice": [[4.1487, 0.0000, 0.0000], [0.0000, 4.1487, 0.0000], [0.0000, 0.0000, 4.1487]], "species": ["Fe", "Ni", "Ni", "Ni", "Mo"], "fractional_positions": [[0.0000, 0.0000, 0.0000], [0.0000, 0.0000, 0.5000], [0.0000, 0.5000, 0.0000], [0.5000, 0.0000, 0.0000], [0.5000, 0.5000, 0.5000]]}



Of them, model w has the highest stability.



Model w:
{"formula": "FeNiMo3", "functional": "PBE", "state": "optimized geometry", "dos_at_fermi_per_ev_fu": 12.79, "spacegroup": "Pm-3m, No. 221", "magmom_total_mub_per_cell": 0.0, "lattice": [[4.4128, 0.0000, 0.0000], [0.0000, 4.4128, 0.0000], [0.0000, 0.0000, 4.4128]], "species": ["Fe", "Ni", "Mo", "Mo", "Mo"], "fractional_positions": [[0.0000, 0.0000, 0.0000], [0.5000, 0.5000, 0.5000], [0.0000, 0.5000, 0.5000], [0.5000, 0.0000, 0.5000], [0.5000, 0.5000, 0.0000]]}



Model x:
{"formula": "FeNiMo3", "functional": "PBE", "state": "optimized geometry", "dos_at_fermi_per_ev_fu": 6.48, "spacegroup": "Pm-3m, No. 221", "magmom_total_mub_per_cell": 0.0, "lattice": [[4.4031, 0.0000, 0.0000], [0.0000, 4.4031, 0.0000], [0.0000, 0.0000, 4.4031]], "species": ["Fe", "Ni", "Mo", "Mo", "Mo"], "fractional_positions": [[0.0000, 0.0000, 0.0000], [0.5000, 0.5000, 0.5000], [0.0000, 0.0000, 0.5000], [0.0000, 0.5000, 0.0000], [0.5000, 0.0000, 0.0000]]}



Of them, model x has the highest stability.



Model w:
{"formula": "FeNiMoRh", "functional": "PBE", "state": "optimized geometry", "dos_at_fermi_per_ev_fu": 2.60, "spacegroup": "I-4m2, No. 119", "magmom_total_mub_per_cell": 4.8, "lattice": [[3.7081, 0.0000, 0.0000], [0.0000, 3.7081, 0.0000], [0.0000, 0.0000, 7.6240]], "species": ["Fe", "Fe", "Ni", "Ni", "Mo", "Mo", "Rh", "Rh"], "fractional_positions": [[0.0000, 0.0000, 0.0000], [0.5000, 0.5000, 0.5000], [0.0000, 0.5000, 0.7500], [0.5000, 0.0000, 0.2500], [0.0000, 0.0000, 0.5000], [0.5000, 0.5000, 0.0000], [0.0000, 0.5000, 0.2500], [0.5000, 0.0000, 0.7500]]}



Model x:
{"formula": "FeNiMoRh", "functional": "PBE", "state": "optimized geometry", "dos_at_fermi_per_ev_fu": 4.79, "spacegroup": "F-43m, No. 216", "magmom_total_mub_per_cell": 7.8, "lattice": [[5.9443, 0.0000, 0.0000], [0.0000, 5.9443, 0.0000], [0.0000, 0.0000, 5.9443]], "species": ["Fe", "Fe", "Fe", "Fe", "Ni", "Ni", "Ni", "Ni", "Mo", "Mo", "Mo", "Mo", "Rh", "Rh", "Rh", "Rh"], "fractional_positions": [[0.0000, 0.0000, 0.0000], [0.0000, 0.5000, 0.5000], [0.5000, 0.0000, 0.5000], [0.5000, 0.5000, 0.0000], [0.0000, 0.0000, 0.5000], [0.0000, 0.5000, 0.0000], [0.5000, 0.0000, 0.0000], [0.5000, 0.5000, 0.5000], [0.2500, 0.2500, 0.2500], [0.2500, 0.7500, 0.7500], [0.7500, 0.2500, 0.7500], [0.7500, 0.7500, 0.2500], [0.2500, 0.2500, 0.7500], [0.2500, 0.7500, 0.2500], [0.7500, 0.2500, 0.2500], [0.7500, 0.7500, 0.7500]]}



Of them, model w has the highest stability.